Record 1
Cr4PN: relaxed, PBE.

It has space group C2/m (No. 12), with a = 9.2953 Å, b = 2.7776 Å, c = 6.4075 Å, α = 90.00°, β = 129.80° and γ = 90.00°. Symmetry generates all atoms from Cr at (0.0835, 0.0000, 0.3776), Cr at (0.2474, 0.5000, 0.8326), P at (0.0000, 0.5000, 0.0000) and N at (0.0000, 0.5000, 0.5000).

Its total DFT energy (no corrections) is -9.016 eV/atom. The value obtained for the spin magnetization is 0.0 Bohr magnetons per cell. The calculated volume is 10.6 Å³ per atom. The value obtained for the uncorrected formation energy is -30.04 kJ per mole of atoms. The calculation puts the offset from the most stable computed form at 0.000 eV per atom. As for the calculated density: 6.61 g cm⁻³.

Record 2
PaCrP2N6: relaxed, PBE.

It has space group C2/c (No. 15), with a = 10.3411 Å, b = 9.2479 Å, c = 5.4933 Å, α = 90.00°, β = 112.16° and γ = 90.00°. Symmetry generates all atoms from Pa at (0.0000, 0.1215, 0.2500), Cr at (0.0000, 0.2814, 0.7500), P at (0.2034, 0.4264, 0.1531), N at (0.1131, 0.2811, 0.1371), N at (0.1257, 0.0958, 0.6937) and N at (0.1547, 0.4506, 0.8279).

Its total DFT energy (no corrections) is -8.650 eV/atom. The value obtained for the spin magnetization is 12.0 Bohr magnetons per cell. The calculated volume is 12.2 Å³ per atom. The value obtained for the uncorrected formation energy is -63.80 kJ per mole of atoms. As for the calculated density: 5.86 g cm⁻³.

Record 3
Pm2CrP2N6: relaxed, PBE.

It has space group R-3m (No. 166, hexagonal axes), with a = 5.4332 Å, b = 5.4332 Å, c = 15.6299 Å, α = 90.00°, β = 90.00° and γ = 120.00°. Symmetry generates all atoms from Pm at (0.0000, 0.0000, 0.2185), Cr at (0.0000, 0.0000, 0.0000), P at (0.0000, 0.0000, 0.4329) and N at (0.0050, 0.5025, 0.7473).

Its total DFT energy (no corrections) is -8.028 eV/atom. The value obtained for the spin magnetization is 6.1 Bohr magnetons per cell. The calculated volume is 12.1 Å³ per atom. The value obtained for the uncorrected formation energy is -73.82 kJ per mole of atoms. As for the calculated density: 6.08 g cm⁻³.

Record 4
PrCrP2N6: relaxed, PBE.

It has space group C2/c (No. 15), with a = 10.1544 Å, b = 10.0425 Å, c = 5.6697 Å, α = 90.00°, β = 113.44° and γ = 90.00°. Symmetry generates all atoms from Pr at (0.0000, 0.1223, 0.2500), Cr at (0.0000, 0.2302, 0.7500), P at (0.2036, 0.4275, 0.1759), N at (0.0954, 0.3002, 0.0579), N at (0.1229, 0.1122, 0.7128) and N at (0.1868, 0.4670, 0.4446).

Its total DFT energy (no corrections) is -7.987 eV/atom. The value obtained for the spin magnetization is 4.0 Bohr magnetons per cell. The calculated volume is 13.3 Å³ per atom. The value obtained for the uncorrected formation energy is -45.35 kJ per mole of atoms. As for the calculated density: 4.24 g cm⁻³.

Record 5
Pu2Cr2P2N: relaxed, PBE.

It has space group I4/mmm (No. 139), with a = 3.8848 Å, b = 3.8848 Å, c = 14.1604 Å, α = 90.00°, β = 90.00° and γ = 90.00°. Symmetry generates all atoms from Pu at (0.0000, 0.0000, 0.1695), Cr at (0.0000, 0.5000, 0.0000), P at (0.0000, 0.0000, 0.3855) and N at (0.0000, 0.0000, 0.0000).

Its total DFT energy (no corrections) is -10.391 eV/atom. The value obtained for the spin magnetization is 21.7 Bohr magnetons per cell. The calculated volume is 15.3 Å³ per atom. The value obtained for the uncorrected formation energy is -78.32 kJ per mole of atoms. As for the calculated density: 10.38 g cm⁻³.

Record 6
PuCrP2N6: relaxed, PBE.

It has space group C2/c (No. 15), with a = 9.9885 Å, b = 9.7395 Å, c = 5.5574 Å, α = 90.00°, β = 112.24° and γ = 90.00°. Symmetry generates all atoms from Pu at (0.0000, 0.1177, 0.2500), Cr at (0.0000, 0.2316, 0.7500), P at (0.2022, 0.4252, 0.1971), N at (0.1031, 0.2881, 0.0815), N at (0.1188, 0.1052, 0.6889) and N at (0.1787, 0.4652, 0.4638).

Its total DFT energy (no corrections) is -8.939 eV/atom. The value obtained for the spin magnetization is 24.0 Bohr magnetons per cell. The calculated volume is 12.5 Å³ per atom. The value obtained for the uncorrected formation energy is -45.01 kJ per mole of atoms. As for the calculated density: 5.87 g cm⁻³.

Record 7
CrP2RuN: relaxed, PBE.

It has space group P4/mmm (No. 123), with a = 4.5477 Å, b = 4.5477 Å, c = 3.4650 Å, α = 90.00°, β = 90.00° and γ = 90.00°. Symmetry generates all atoms from Cr at (0.0000, 0.0000, 0.0000), P at (0.0000, 0.5000, 0.0000), Ru at (0.5000, 0.5000, 0.5000) and N at (0.0000, 0.0000, 0.5000).

Its total DFT energy (no corrections) is -6.870 eV/atom. The value obtained for the spin magnetization is 1.2 Bohr magnetons per cell. The calculated volume is 14.3 Å³ per atom. The value obtained for the uncorrected formation energy is 71.25 kJ per mole of atoms. As for the calculated density: 5.31 g cm⁻³.

Record 8
CrP2SN: relaxed, PBE.

It has space group P4/mmm (No. 123), with a = 4.4483 Å, b = 4.4483 Å, c = 4.2840 Å, α = 90.00°, β = 90.00° and γ = 90.00°. Symmetry generates all atoms from Cr at (0.0000, 0.0000, 0.0000), P at (0.0000, 0.5000, 0.0000), S at (0.0000, 0.0000, 0.5000) and N at (0.5000, 0.5000, 0.5000).

Its total DFT energy (no corrections) is -5.255 eV/atom. The value obtained for the spin magnetization is 1.3 Bohr magnetons per cell. The calculated volume is 17.0 Å³ per atom. The value obtained for the uncorrected formation energy is 127.73 kJ per mole of atoms. The calculation puts the offset from the most stable computed form at 0.294 eV per atom. As for the calculated density: 3.13 g cm⁻³.

Record 9
CrP2SN: relaxed, PBE.

It has space group P4/mmm (No. 123), with a = 3.8855 Å, b = 3.8855 Å, c = 4.1337 Å, α = 90.00°, β = 90.00° and γ = 90.00°. Symmetry generates all atoms from Cr at (0.0000, 0.0000, 0.0000), P at (0.0000, 0.5000, 0.5000), S at (0.5000, 0.5000, 0.0000) and N at (0.5000, 0.5000, 0.5000).

Its total DFT energy (no corrections) is -5.550 eV/atom. The value obtained for the spin magnetization is 0.2 Bohr magnetons per cell. The calculated volume is 12.5 Å³ per atom. The value obtained for the uncorrected formation energy is 99.34 kJ per mole of atoms. The calculation puts the offset from the most stable computed form at 0.000 eV per atom. As for the calculated density: 4.26 g cm⁻³.

Record 10
CrPS2N: relaxed, PBE.

It has space group P4/mmm (No. 123), with a = 4.6210 Å, b = 4.6210 Å, c = 3.1940 Å, α = 90.00°, β = 90.00° and γ = 90.00°. Symmetry generates all atoms from Cr at (0.0000, 0.0000, 0.0000), P at (0.5000, 0.5000, 0.5000), S at (0.0000, 0.5000, 0.5000) and N at (0.5000, 0.5000, 0.0000).

Its total DFT energy (no corrections) is -5.512 eV/atom. The value obtained for the spin magnetization is 0.0 Bohr magnetons per cell. The calculated volume is 13.6 Å³ per atom. The value obtained for the uncorrected formation energy is 78.19 kJ per mole of atoms. The calculation puts the offset from the most stable computed form at 0.309 eV per atom. As for the calculated density: 3.92 g cm⁻³.

Record 11
CrPS2N: relaxed, PBE.

It has space group P4/mmm (No. 123), with a = 4.6545 Å, b = 4.6545 Å, c = 3.5026 Å, α = 90.00°, β = 90.00° and γ = 90.00°. Symmetry generates all atoms from Cr at (0.0000, 0.0000, 0.0000), P at (0.5000, 0.5000, 0.5000), S at (0.0000, 0.5000, 0.0000) and N at (0.0000, 0.0000, 0.5000).

Its total DFT energy (no corrections) is -5.821 eV/atom. The value obtained for the spin magnetization is 1.1 Bohr magnetons per cell. The calculated volume is 15.2 Å³ per atom. The value obtained for the uncorrected formation energy is 48.40 kJ per mole of atoms. The calculation puts the offset from the most stable computed form at 0.000 eV per atom. As for the calculated density: 3.53 g cm⁻³.

Record 12
CrPS2N: relaxed, PBE.

It has space group P4/mmm (No. 123), with a = 4.1037 Å, b = 4.1037 Å, c = 3.8037 Å, α = 90.00°, β = 90.00° and γ = 90.00°. Symmetry generates all atoms from Cr at (0.0000, 0.0000, 0.0000), P at (0.5000, 0.5000, 0.0000), S at (0.0000, 0.5000, 0.5000) and N at (0.5000, 0.5000, 0.5000).

Its total DFT energy (no corrections) is -5.177 eV/atom. The value obtained for the spin magnetization is 0.1 Bohr magnetons per cell. The calculated volume is 12.8 Å³ per atom. The value obtained for the uncorrected formation energy is 110.56 kJ per mole of atoms. The calculation puts the offset from the most stable computed form at 0.644 eV per atom. As for the calculated density: 4.18 g cm⁻³.

Record 13
CrPS2N: relaxed, PBE.

It has space group P4/mmm (No. 123), with a = 4.3541 Å, b = 4.3541 Å, c = 4.6424 Å, α = 90.00°, β = 90.00° and γ = 90.00°. Symmetry generates all atoms from Cr at (0.0000, 0.0000, 0.0000), P at (0.0000, 0.0000, 0.5000), S at (0.0000, 0.5000, 0.0000) and N at (0.5000, 0.5000, 0.5000).

Its total DFT energy (no corrections) is -5.041 eV/atom. The value obtained for the spin magnetization is 1.8 Bohr magnetons per cell. The calculated volume is 17.6 Å³ per atom. The value obtained for the uncorrected formation energy is 123.66 kJ per mole of atoms. The calculation puts the offset from the most stable computed form at 0.780 eV per atom. As for the calculated density: 3.04 g cm⁻³.

Record 14
Sm2CrPN5: relaxed, PBE.

It has space group Cmc2_1 (No. 36), with a = 3.1214 Å, b = 13.7745 Å, c = 10.1002 Å, α = 90.00°, β = 90.00° and γ = 90.00°. Symmetry generates all atoms from Sm at (0.0000, 0.1148, 0.0000), Sm at (0.0000, 0.1389, 0.6419), Cr at (0.0000, 0.2126, 0.3602), P at (0.0000, 0.4397, 0.7543), N at (0.0000, 0.0454, 0.3433), N at (0.0000, 0.2921, 0.9765), N at (0.0000, 0.3235, 0.7142), N at (0.0000, 0.3432, 0.3317) and N at (0.0000, 0.4972, 0.1198).

Its total DFT energy (no corrections) is -8.209 eV/atom. The value obtained for the spin magnetization is 7.6 Bohr magnetons per cell. The calculated volume is 12.1 Å³ per atom. The value obtained for the uncorrected formation energy is -83.44 kJ per mole of atoms. As for the calculated density: 6.94 g cm⁻³.

Record 15
Sr2CrP2N6: relaxed, PBE.

It has space group R-3m (No. 166, hexagonal axes), with a = 5.5063 Å, b = 5.5063 Å, c = 16.4640 Å, α = 90.00°, β = 90.00° and γ = 120.00°. Symmetry generates all atoms from Sr at (0.0000, 0.0000, 0.2133), Cr at (0.0000, 0.0000, 0.0000), P at (0.0000, 0.0000, 0.4061) and N at (0.0030, 0.5015, 0.2569).

Its total DFT energy (no corrections) is -7.251 eV/atom. The value obtained for the spin magnetization is 6.2 Bohr magnetons per cell. The calculated volume is 13.1 Å³ per atom. The value obtained for the uncorrected formation energy is -52.60 kJ per mole of atoms. As for the calculated density: 4.30 g cm⁻³.

Record 16
SrCrP2N6: relaxed, PBE.

It has space group C2/c (No. 15), with a = 10.0270 Å, b = 10.5983 Å, c = 5.5788 Å, α = 90.00°, β = 113.78° and γ = 90.00°. Symmetry generates all atoms from Sr at (0.0000, 0.1155, 0.2500), Cr at (0.0000, 0.2280, 0.7500), P at (0.1982, 0.4283, 0.1542), N at (0.0799, 0.3112, 0.0369), N at (0.1319, 0.1244, 0.7325) and N at (0.1855, 0.4751, 0.4214).

Its total DFT energy (no corrections) is -7.616 eV/atom. The value obtained for the spin magnetization is 0.0 Bohr magnetons per cell. The calculated volume is 13.6 Å³ per atom. The value obtained for the uncorrected formation energy is -39.39 kJ per mole of atoms. As for the calculated density: 3.50 g cm⁻³.

Record 17
TaCr2PN: relaxed, PBE.

It has space group P4/mmm (No. 123), with a = 3.6940 Å, b = 3.6940 Å, c = 4.6806 Å, α = 90.00°, β = 90.00° and γ = 90.00°. Symmetry generates all atoms from Ta at (0.0000, 0.0000, 0.0000), Cr at (0.0000, 0.5000, 0.5000), P at (0.5000, 0.5000, 0.0000) and N at (0.5000, 0.5000, 0.5000).

Its total DFT energy (no corrections) is -8.946 eV/atom. The value obtained for the spin magnetization is 2.4 Bohr magnetons per cell. The calculated volume is 12.8 Å³ per atom. The value obtained for the uncorrected formation energy is 2.04 kJ per mole of atoms. As for the calculated density: 8.58 g cm⁻³.

Record 18
TbCrP2N6: relaxed, PBE.

It has space group C2/c (No. 15), with a = 10.0435 Å, b = 9.7283 Å, c = 5.5854 Å, α = 90.00°, β = 113.18° and γ = 90.00°. Symmetry generates all atoms from Tb at (0.0000, 0.1189, 0.2500), Cr at (0.0000, 0.2222, 0.7500), P at (0.1983, 0.4272, 0.1797), N at (0.1031, 0.2855, 0.0671), N at (0.1225, 0.0996, 0.6997) and N at (0.1681, 0.4683, 0.4365).

Its total DFT energy (no corrections) is -8.036 eV/atom. The value obtained for the spin magnetization is 4.0 Bohr magnetons per cell. The calculated volume is 12.5 Å³ per atom. The value obtained for the uncorrected formation energy is -51.42 kJ per mole of atoms. As for the calculated density: 4.73 g cm⁻³.

Record 19
Tb2CrPN5: relaxed, PBE.

It has space group Cmc2_1 (No. 36), with a = 3.0864 Å, b = 13.5649 Å, c = 9.9344 Å, α = 90.00°, β = 90.00° and γ = 90.00°. Symmetry generates all atoms from Tb at (0.0000, 0.1136, 0.0000), Tb at (0.0000, 0.1392, 0.6457), Cr at (0.0000, 0.2126, 0.3637), P at (0.0000, 0.4403, 0.7545), N at (0.0000, 0.0443, 0.3451), N at (0.0000, 0.2921, 0.9818), N at (0.0000, 0.3228, 0.7132), N at (0.0000, 0.3463, 0.3342) and N at (0.0000, 0.4958, 0.1178).

Its total DFT energy (no corrections) is -8.259 eV/atom. The value obtained for the spin magnetization is 7.8 Bohr magnetons per cell. The calculated volume is 11.6 Å³ per atom. The value obtained for the uncorrected formation energy is -90.13 kJ per mole of atoms. As for the calculated density: 7.52 g cm⁻³.

Record 20
CrTe2PN: relaxed, PBE.

It has space group P4/mmm (No. 123), with a = 5.5001 Å, b = 5.5001 Å, c = 3.2975 Å, α = 90.00°, β = 90.00° and γ = 90.00°. Symmetry generates all atoms from Cr at (0.0000, 0.0000, 0.0000), Te at (0.0000, 0.5000, 0.5000), P at (0.5000, 0.5000, 0.5000) and N at (0.5000, 0.5000, 0.0000).

Its total DFT energy (no corrections) is -5.339 eV/atom. The value obtained for the spin magnetization is 4.1 Bohr magnetons per cell. The calculated volume is 20.0 Å³ per atom. The value obtained for the uncorrected formation energy is 56.85 kJ per mole of atoms. The calculation puts the offset from the most stable computed form at 0.159 eV per atom. As for the calculated density: 5.86 g cm⁻³.

Record 21
CrTe2PN: relaxed, PBE.

It has space group P4/mmm (No. 123), with a = 5.1969 Å, b = 5.1969 Å, c = 3.5269 Å, α = 90.00°, β = 90.00° and γ = 90.00°. Symmetry generates all atoms from Cr at (0.0000, 0.0000, 0.0000), Te at (0.0000, 0.5000, 0.0000), P at (0.5000, 0.5000, 0.5000) and N at (0.0000, 0.0000, 0.5000).

Its total DFT energy (no corrections) is -5.498 eV/atom. The value obtained for the spin magnetization is 0.0 Bohr magnetons per cell. The calculated volume is 19.1 Å³ per atom. The value obtained for the uncorrected formation energy is 41.51 kJ per mole of atoms. The calculation puts the offset from the most stable computed form at 0.000 eV per atom. As for the calculated density: 6.14 g cm⁻³.